The following is a PBE-GGA calculation of a relaxed Sr3As5S12 crystal, from the Alexandria database.

Summary:
**Space-group type**: No. 230
**Crystal system**: cubic
**E_form (uncorrected)**: -0.620 eV/atom

Cell: 13.714 13.714 13.714 Å, 109.47 109.47 109.47°
Fractional positions:
S 0.202 0.680 0.083
S 0.619 0.597 0.917
S 0.180 0.097 0.978
S 0.022 0.403 0.820
S 0.702 0.119 0.022
S 0.583 0.881 0.403
S 0.881 0.583 0.903
S 0.680 0.202 0.583
S 0.403 0.381 0.583
S 0.320 0.522 0.403
S 0.022 0.619 0.702
S 0.522 0.320 0.903
S 0.917 0.097 0.619
S 0.417 0.298 0.320
S 0.680 0.478 0.597
S 0.820 0.903 0.022
S 0.298 0.881 0.978
S 0.097 0.180 0.478
S 0.381 0.403 0.083
S 0.917 0.820 0.798
S 0.083 0.903 0.381
S 0.097 0.917 0.119
S 0.597 0.619 0.417
S 0.320 0.798 0.417
S 0.903 0.820 0.522
S 0.202 0.522 0.619
S 0.298 0.417 0.820
S 0.083 0.180 0.202
S 0.478 0.798 0.881
S 0.522 0.202 0.119
S 0.597 0.978 0.680
S 0.583 0.702 0.680
S 0.798 0.320 0.917
S 0.702 0.583 0.180
S 0.403 0.022 0.320
S 0.119 0.417 0.097
S 0.903 0.083 0.881
S 0.820 0.917 0.298
S 0.619 0.022 0.202
S 0.978 0.597 0.180
S 0.881 0.298 0.478
S 0.798 0.478 0.381
S 0.381 0.978 0.798
S 0.417 0.119 0.597
S 0.180 0.083 0.702
S 0.978 0.381 0.298
S 0.119 0.702 0.522
S 0.478 0.680 0.097
As 0.125 0.750 0.375
As 0.750 0.125 0.875
As 0.500 0.500 0.000
As 0.375 0.250 0.125
As 0.000 0.500 0.000
As 0.625 0.750 0.875
As 0.500 0.000 0.000
As 0.875 0.625 0.750
As 0.750 0.625 0.375
As 0.625 0.875 0.250
As 0.500 0.000 0.500
As 0.000 0.000 0.500
As 0.875 0.250 0.625
As 0.000 0.000 0.000
As 0.250 0.875 0.125
As 0.500 0.500 0.500
As 0.125 0.375 0.250
As 0.250 0.375 0.625
As 0.375 0.125 0.750
As 0.000 0.500 0.500
Sr 0.875 0.750 0.125
Sr 0.750 0.875 0.625
Sr 0.375 0.750 0.625
Sr 0.125 0.250 0.875
Sr 0.875 0.125 0.250
Sr 0.625 0.250 0.375
Sr 0.750 0.375 0.125
Sr 0.375 0.625 0.250
Sr 0.625 0.375 0.750
Sr 0.250 0.625 0.875
Sr 0.250 0.125 0.375
Sr 0.125 0.875 0.750